A relaxed structure of Ba6Ni, computed with PBE.

```
Ba6Ni
1.0
7.821 0.000 0.000
0.000 13.574 0.000
0.000 0.000 14.825
Ba Ni
24 4
direct
0.250 0.088 0.508
0.734 0.250 0.003
0.081 0.589 0.255
0.581 0.089 0.245
0.581 0.411 0.245
0.597 0.750 0.251
0.750 0.912 0.492
0.250 0.412 0.508
0.750 0.588 0.992
0.903 0.750 0.751
0.250 0.412 0.008
0.919 0.089 0.745
0.250 0.088 0.008
0.750 0.588 0.492
0.750 0.912 0.992
0.234 0.750 0.497
0.403 0.250 0.749
0.419 0.589 0.755
0.419 0.911 0.755
0.266 0.750 0.997
0.919 0.411 0.745
0.766 0.250 0.503
0.097 0.250 0.249
0.081 0.911 0.255
0.584 0.750 0.874
0.916 0.750 0.374
0.084 0.250 0.626
0.416 0.250 0.126
```

Results
The calculation puts the mass density at 3.725 g/cm3. Its total energy is -2.491 eV/atom.

---

A relaxed structure of Cu2Te, computed with PBE.

```
Cu2Te
1.0
4.254 0.000 0.000
0.000 7.363 0.000
0.000 0.000 7.335
Te Cu
4 8
direct
0.750 0.292 0.574
0.750 0.792 0.926
0.250 0.208 0.074
0.250 0.708 0.426
0.250 0.655 0.775
0.750 0.345 0.225
0.750 0.441 0.899
0.250 0.059 0.399
0.750 0.845 0.275
0.250 0.559 0.101
0.750 0.941 0.601
0.250 0.155 0.725
```

Results
The calculation puts the mass density at 7.364 g/cm3. Its total energy is -3.738 eV/atom.

---

A relaxed structure of Li2ZrSb, computed with PBE.

```
Li2ZrSb
1.0
-3.830 -2.522 -2.708
-0.330 -0.699 5.269
-1.856 2.577 0.226
Li Zr Sb
2 1 1
direct
0.500 0.500 0.000
0.000 0.000 0.000
0.000 0.500 0.500
0.500 0.000 0.500
```

Results
The calculation puts the mass density at 4.544 g/cm3. Its total energy is -4.175 eV/atom.

---

A relaxed structure of Al2PtPb, computed with PBE.

```
Al2PtPb
1.0
6.925 -0.027 -0.063
5.009 4.782 0.063
-5.746 -2.933 2.519
Pt Al Pb
1 2 1
direct
0.230 0.730 0.500
0.080 0.080 0.000
0.747 0.247 0.500
0.443 0.443 0.000
```

Results
The calculation puts the mass density at 8.991 g/cm3. Its total energy is -4.601 eV/atom.